# LaSe2I, optimized geometry, DFT PBE
# - ΔE to the lowest computed polymorph (eV/atom) = 0.0000
data_LaSe2I
_chemical_formula_sum 'La3 Se6 I3'
_cell_length_a 4.6451
_cell_length_b 4.6451
_cell_length_c 25.1608
_cell_angle_alpha 90.00
_cell_angle_beta 90.00
_cell_angle_gamma 120.00
_space_group_name_H-M_alt 'R -3 m'
_space_group_IT_number 166
_space_group_name_Hall '-R 3 2"'
loop_
_atom_site_label
_atom_site_fract_x
_atom_site_fract_y
_atom_site_fract_z
La1 0.0000 0.0000 0.0000
Se1 0.0000 0.0000 0.3897
I1 0.0000 0.0000 0.5000


# La3Se2I2, optimized geometry, DFT PBE
# - electronic total energy (eV per atom) = -5.233
data_La3Se2I2
_chemical_formula_sum 'La6 Se4 I4'
_cell_length_a 14.4126
_cell_length_b 4.2826
_cell_length_c 7.9522
_cell_angle_alpha 90.00
_cell_angle_beta 98.70
_cell_angle_gamma 90.00
_space_group_name_H-M_alt 'C 1 2/m 1'
_space_group_IT_number 12
loop_
_space_group_symop_operation_xyz
'x,y,z'
'-x,-y,-z'
'-x,y,-z'
'x,-y,z'
'x+1/2,y+1/2,z'
'-x+1/2,-y+1/2,-z'
'-x+1/2,y+1/2,-z'
'x+1/2,-y+1/2,z'
loop_
_atom_site_label
_atom_site_fract_x
_atom_site_fract_y
_atom_site_fract_z
La1 0.0000 0.0000 0.0000
La2 0.2478 0.0000 0.7926
Se1 0.1184 0.5000 0.8718
I1 0.1214 0.0000 0.3895


# La2SeI, optimized geometry, DFT PBE
# - ΔE to the lowest computed polymorph (eV/atom) = 0.0138
data_La2SeI
_chemical_formula_sum 'La6 Se3 I3'
_cell_length_a 4.2222
_cell_length_b 4.2222
_cell_length_c 24.5346
_cell_angle_alpha 90.00
_cell_angle_beta 90.00
_cell_angle_gamma 120.00
_space_group_name_H-M_alt 'R 3 m'
_space_group_IT_number 160
_space_group_name_Hall 'R 3 -2"'
loop_
_atom_site_label
_atom_site_fract_x
_atom_site_fract_y
_atom_site_fract_z
La1 0.0000 0.0000 0.0000
La2 0.0000 0.0000 0.1929
Se1 0.0000 0.0000 0.5961
I1 0.0000 0.0000 0.4288


# La2SeI2, optimized geometry, DFT PBE
# - electronic total energy (eV per atom) = -4.281
data_La2SeI2
_chemical_formula_sum 'La4 Se2 I4'
_cell_length_a 9.0356
_cell_length_b 9.0356
_cell_length_c 3.8897
_cell_angle_alpha 90.00
_cell_angle_beta 90.00
_cell_angle_gamma 90.00
_space_group_name_H-M_alt 'P 4/m b m'
_space_group_IT_number 127
_space_group_name_Hall '-P 4 2ab'
loop_
_atom_site_label
_atom_site_fract_x
_atom_site_fract_y
_atom_site_fract_z
La1 0.1683 0.3317 0.0000
Se1 0.0000 0.0000 0.5000
I1 0.1303 0.6303 0.5000


# La4Se5I, optimized geometry, DFT PBE
# - electronic total energy (eV per atom) = -5.592
data_La4Se5I
_chemical_formula_sum 'La8 Se10 I2'
_cell_length_a 9.2742
_cell_length_b 10.6449
_cell_length_c 7.3484
_cell_angle_alpha 90.00
_cell_angle_beta 90.00
_cell_angle_gamma 90.00
_space_group_name_H-M_alt 'P m m n'
_space_group_IT_number 59
loop_
_space_group_symop_operation_xyz
'x,y,z'
'-x,-y,-z'
'-x+1/2,-y+1/2,z'
'x+1/2,y+1/2,-z'
'x+1/2,-y,-z'
'-x+1/2,y,z'
'-x,y+1/2,-z'
'x,-y+1/2,z'
loop_
_atom_site_label
_atom_site_fract_x
_atom_site_fract_y
_atom_site_fract_z
La1 0.0217 0.2500 0.0075
La2 0.2500 0.0282 0.5095
Se1 0.0109 0.5446 0.2483
Se2 0.2500 0.2500 0.2789
I1 0.2500 0.7500 0.7027


# LaSeI2, optimized geometry, DFT PBE
# - ΔE to the lowest computed polymorph (eV/atom) = 0.0000
data_LaSeI2
_chemical_formula_sum 'La4 Se4 I8'
_cell_length_a 7.9345
_cell_length_b 7.9345
_cell_length_c 7.9345
_cell_angle_alpha 90.00
_cell_angle_beta 90.00
_cell_angle_gamma 90.00
_space_group_name_H-M_alt 'F m -3 m'
_space_group_IT_number 225
_space_group_name_Hall '-F 4 2 3'
loop_
_atom_site_label
_atom_site_fract_x
_atom_site_fract_y
_atom_site_fract_z
La1 0.0000 0.0000 0.0000
Se1 0.0000 0.0000 0.5000
I1 0.2500 0.2500 0.2500


# La2Se2I, optimized geometry, DFT PBE
# - ΔE to the lowest computed polymorph (eV/atom) = 0.0000
data_La2Se2I
_chemical_formula_sum 'La4 Se4 I2'
_cell_length_a 8.5650
_cell_length_b 8.5650
_cell_length_c 3.9476
_cell_angle_alpha 90.00
_cell_angle_beta 90.00
_cell_angle_gamma 90.00
_space_group_name_H-M_alt 'P 4/m b m'
_space_group_IT_number 127
_space_group_name_Hall '-P 4 2ab'
loop_
_atom_site_label
_atom_site_fract_x
_atom_site_fract_y
_atom_site_fract_z
La1 0.1528 0.3472 0.0000
Se1 0.1390 0.6390 0.5000
I1 0.0000 0.0000 0.0000


# La5Se4I, optimized geometry, DFT PBE
# - electronic total energy (eV per atom) = -5.811
data_La5Se4I
_chemical_formula_sum 'La15 Se12 I3'
_cell_length_a 4.3071
_cell_length_b 4.3071
_cell_length_c 55.1716
_cell_angle_alpha 90.00
_cell_angle_beta 90.00
_cell_angle_gamma 120.00
_space_group_name_H-M_alt 'R -3 m'
_space_group_IT_number 166
_space_group_name_Hall '-R 3 2"'
loop_
_atom_site_label
_atom_site_fract_x
_atom_site_fract_y
_atom_site_fract_z
La1 0.0000 0.0000 0.0000
La2 0.0000 0.0000 0.2074
La3 0.0000 0.0000 0.3978
Se1 0.0000 0.0000 0.0957
Se2 0.0000 0.0000 0.3013
I1 0.0000 0.0000 0.5000


# La4Se3I, optimized geometry, DFT PBE
# - electronic total energy (eV per atom) = -5.724
data_La4Se3I
_chemical_formula_sum 'La8 Se6 I2'
_cell_length_a 4.2959
_cell_length_b 4.2959
_cell_length_c 29.9453
_cell_angle_alpha 90.00
_cell_angle_beta 90.00
_cell_angle_gamma 120.00
_space_group_name_H-M_alt 'P 63/m m c'
_space_group_IT_number 194
_space_group_name_Hall '-P 6c 2c'
loop_
_atom_site_label
_atom_site_fract_x
_atom_site_fract_y
_atom_site_fract_z
La1 0.0000 0.0000 0.1733
La2 0.3333 0.6667 0.0607
Se1 0.0000 0.0000 0.0000
Se2 0.3333 0.6667 0.6178
I1 0.3333 0.6667 0.2500


# LaSe2I, optimized geometry, DFT PBE
# - ΔE to the lowest computed polymorph (eV/atom) = 0.0728
data_LaSe2I
_chemical_formula_sum 'La4 Se8 I4'
_cell_length_a 5.0269
_cell_length_b 5.0269
_cell_length_c 21.5989
_cell_angle_alpha 90.00
_cell_angle_beta 90.00
_cell_angle_gamma 90.00
_space_group_name_H-M_alt 'I -4 2 d'
_space_group_IT_number 122
_space_group_name_Hall 'I -4 2bw'
loop_
_atom_site_label
_atom_site_fract_x
_atom_site_fract_y
_atom_site_fract_z
La1 0.0000 0.0000 0.0000
Se1 0.0689 0.2500 0.1250
I1 0.0000 0.0000 0.5000


# La2SeI2, optimized geometry, DFT PBE
# - electronic total energy (eV per atom) = -4.222
data_La2SeI2
_chemical_formula_sum 'La4 Se2 I4'
_cell_length_a 5.8352
_cell_length_b 5.8352
_cell_length_c 11.0643
_cell_angle_alpha 90.00
_cell_angle_beta 90.00
_cell_angle_gamma 90.00
_space_group_name_H-M_alt 'I 4/m m m'
_space_group_IT_number 139
_space_group_name_Hall '-I 4 2'
loop_
_atom_site_label
_atom_site_fract_x
_atom_site_fract_y
_atom_site_fract_z
La1 0.0000 0.5000 0.2500
Se1 0.0000 0.0000 0.0000
I1 0.0000 0.0000 0.3484


# La3SeI, optimized geometry, DFT PBE
# - ΔE to the lowest computed polymorph (eV/atom) = 0.0000
data_La3SeI
_chemical_formula_sum 'La3 Se1 I1'
_cell_length_a 5.7283
_cell_length_b 5.7283
_cell_length_c 5.7283
_cell_angle_alpha 90.00
_cell_angle_beta 90.00
_cell_angle_gamma 90.00
_space_group_name_H-M_alt 'P m -3 m'
_space_group_IT_number 221
_space_group_name_Hall '-P 4 2 3'
loop_
_atom_site_label
_atom_site_fract_x
_atom_site_fract_y
_atom_site_fract_z
La1 0.0000 0.0000 0.5000
Se1 0.0000 0.0000 0.0000
I1 0.5000 0.5000 0.5000


Number 1: volume 156.7 Å³/f.u.. Number 2: volume 242.6 Å³/f.u.. Number 3: volume 126.3 Å³/f.u.. Number 4: volume 158.8 Å³/f.u.. Number 5: volume 362.7 Å³/f.u.. Number 6: volume 124.9 Å³/f.u.. Number 7: volume 144.8 Å³/f.u.. Number 8: volume 295.5 Å³/f.u.. Number 9: volume 239.3 Å³/f.u.. Number 10: volume 136.4 Å³/f.u.. Number 11: volume 188.4 Å³/f.u.. Number 12: volume 188.0 Å³/f.u..